(1)
VASP calculation (PBE) on a relaxed structure of Ho4Si2C.

Values from the calculation:
- ΔE to the lowest computed polymorph: 0.0 meV/atom
- D(E_F): 6.01 states/eV/cell
- Space group: C2/m
- Magnetization: 0.46 μB/f.u.
- Energy relative to the elements, uncorrected: -0.554 eV/atom

a b c (Å): 3.935 8.146 7.091
angles (deg): 134.57 106.11 90.00
Element x y z (fractional)
Ho 0.919 0.184 0.838
Ho 0.081 0.816 0.162
Ho 0.664 0.252 0.328
Ho 0.336 0.748 0.672
Si 0.619 0.587 0.237
Si 0.381 0.413 0.763
C 0.000 0.000 0.000


(2)
VASP calculation (PBE) on a relaxed structure of Pm4MgZnCd2.

Values from the calculation:
- D(E_F): 9.98 states/eV/cell
- E: -0.1185 hartree per atom
- Space group: R-3m
- Magnetization: 0.00 μB/f.u.

a b c (Å): 5.371 5.371 9.293
angles (deg): 73.20 73.20 60.00
Element x y z (fractional)
Pm 0.380 0.380 0.859
Pm 0.870 0.870 0.389
Pm 0.130 0.130 0.611
Pm 0.620 0.620 0.141
Mg 0.000 0.000 0.000
Zn 0.500 0.500 0.500
Cd 0.744 0.744 0.768
Cd 0.256 0.256 0.232


(3)
VASP calculation (PBE) on a relaxed structure of AlTc2Sn2.

Values from the calculation:
- D(E_F): 5.88 states/eV/cell
- E: -0.2374 hartree per atom
- Space group: P4/mbm
- Magnetization: 0.00 μB/f.u.

a b c (Å): 6.743 6.743 4.004
angles (deg): 90.00 90.00 90.00
Element x y z (fractional)
Al 0.000 0.000 0.000
Al 0.500 0.500 0.000
Sn 0.160 0.660 0.500
Sn 0.660 0.840 0.500
Sn 0.840 0.340 0.500
Sn 0.340 0.160 0.500
Tc 0.356 0.856 0.000
Tc 0.856 0.644 0.000
Tc 0.644 0.144 0.000
Tc 0.144 0.356 0.000


(4)
VASP calculation (PBE) on a relaxed structure of Pm4SmHg.

Values from the calculation:
- ΔE to the lowest computed polymorph: 438.3 meV/atom
- D(E_F): 9.66 states/eV/cell
- Space group: P4/mmm
- Magnetization: 0.00 μB/f.u.

a b c (Å): 5.319 5.321 7.676
angles (deg): 89.96 89.97 90.00
Element x y z (fractional)
Pm 0.501 0.997 0.261
Pm 0.501 0.998 0.735
Pm 0.002 0.497 0.735
Pm 0.001 0.497 0.261
Sm 0.501 0.497 0.998
Hg 0.001 0.997 0.498


(5)
VASP calculation (PBE) on a relaxed structure of KBaSi2O.

Values from the calculation:
- D(E_F): 4.62 states/eV/cell
- Space group: P4/mmm
- Magnetization: 0.54 μB/f.u.
- Energy relative to the elements, uncorrected: 0.750 eV/atom

a b c (Å): 5.581 4.771 5.581
angles (deg): 90.00 90.00 90.00
Element x y z (fractional)
K 0.000 0.000 0.000
Si 0.000 0.000 0.500
Si 0.500 0.000 0.000
Ba 0.500 0.500 0.500
O 0.000 0.500 0.000


(6)
VASP calculation (PBE) on a relaxed structure of Ca2TlSnH.

Values from the calculation:
- ΔE to the lowest computed polymorph: 33.6 meV/atom
- D(E_F): 1.03 states/eV/cell
- Space group: P4/mmm
- Magnetization: 0.00 μB/f.u.

a b c (Å): 5.097 5.097 4.552
angles (deg): 90.00 90.00 90.00
Element x y z (fractional)
H 0.000 0.000 0.000
Tl 0.500 0.500 0.500
Ca 0.000 0.500 0.000
Ca 0.500 0.000 0.000
Sn 0.000 0.000 0.500